No. 1
An optimized crystal structure of Sm9InSi3S21, computed with PBEsol.

a = 17.2580 Å, b = 17.2580 Å, c = 16.8463 Å
α = 90.00°, β = 90.00°, γ = 120.00°
Space group R3 (No. 146, hexagonal axes)
Asymmetric unit:
Sm1 0.0326 0.8337 0.0000
Sm2 0.0352 0.8457 0.6620
Sm3 0.0374 0.8367 0.3241
Sm4 0.1684 0.4670 0.4912
Sm5 0.1691 0.4663 0.1657
Sm6 0.1785 0.4774 0.8290
In1 0.0000 0.0000 0.4070
In2 0.0000 0.0000 0.9071
Si1 0.0005 0.3314 0.0237
Si2 0.0030 0.6687 0.5238
S1 0.0050 0.3358 0.8992
S2 0.0059 0.6682 0.3992
S3 0.0170 0.4558 0.4059
S4 0.0242 0.4589 0.7409
S5 0.0245 0.4562 0.0726
S6 0.0251 0.8848 0.8265
S7 0.0248 0.8857 0.4865
S8 0.0262 0.8815 0.1581
S9 0.1218 0.7686 0.9072
S10 0.1240 0.7643 0.2386
S11 0.1249 0.7725 0.5737
S12 0.1382 0.0226 0.9869
S13 0.1409 0.0276 0.3263
S14 0.1454 0.0264 0.6578

E_form (uncorrected): -1.66 eV/atom
magnetization: 0.0 Bohr magnetons per cell

***

No. 2
An optimized crystal structure of CaLaPbO2, computed with PBEsol.

a = 4.646 Å, b = 4.646 Å, c = 5.521 Å
α = 90.00°, β = 90.00°, γ = 90.00°
Space group P4/mmm (No. 123)
Asymmetric unit:
Ca1 0.000 0.000 0.000
La1 0.500 0.500 0.000
Pb1 0.000 0.000 0.500
O1 0.000 0.500 0.500

E_form (uncorrected): 0.02 eV/atom
magnetization: 0.4 Bohr magnetons per cell

***

No. 3
An optimized crystal structure of BiP2NO, computed with PBEsol.

a = 3.609 Å, b = 3.609 Å, c = 5.745 Å
α = 90.00°, β = 90.00°, γ = 90.00°
Space group P4/mmm (No. 123)
Asymmetric unit:
Bi1 0.000 0.000 0.000
P1 0.000 0.500 0.500
N1 0.500 0.500 0.500
O1 0.500 0.500 0.000

E_form (uncorrected): 0.52 eV/atom
magnetization: 0.0 Bohr magnetons per cell

***

No. 4
An optimized crystal structure of NiW2Au, computed with PBEsol.

a = 8.979 Å, b = 2.678 Å, c = 4.933 Å
α = 90.00°, β = 98.18°, γ = 90.00°
Space group Cm (No. 8)
Asymmetric unit:
Ni1 0.000 0.000 0.000
W1 0.239 0.500 0.230
W2 0.496 0.000 0.492
Au1 0.249 0.000 0.754

formation energy from the elements: 0.268 eV per atom
magnetization: 0.0 Bohr magnetons per cell